The following is a PBE calculation of a relaxed InSiI2 crystal, from Alexandria.

Structure (CIF):
```
data_InSiI2
_chemical_formula_sum 'In2 Si2 I4'
_space_group_name_H-M_alt 'P 1'
_space_group_IT_number 1
_space_group_name_Hall 'P 1'
_cell_length_a 6.548
_cell_length_b 6.548
_cell_length_c 9.785
_cell_angle_alpha 70.45
_cell_angle_beta 70.45
_cell_angle_gamma 90.00
loop_
_atom_site_label
_atom_site_fract_x
_atom_site_fract_y
_atom_site_fract_z
I1 0.554 0.125 0.250
I2 0.196 0.625 0.250
I3 0.375 0.446 0.750
I4 0.875 0.804 0.750
Si1 0.500 0.500 0.000
Si2 0.250 0.750 0.500
In1 0.000 0.000 0.000
In2 0.750 0.250 0.500
```

Output
Formation energy (no corrections) ... 0.295 eV per atom
ΔE to the lowest computed polymorph ... 0 meV/atom
Space group ... I-42d, No. 122
E ... -2.521 eV/atom


The following is a PBE calculation of a relaxed InSiI2 crystal, from Alexandria.

Structure (CIF):
```
data_InSiI2
_chemical_formula_sum 'In1 Si1 I2'
_space_group_name_H-M_alt 'P 1'
_space_group_IT_number 1
_space_group_name_Hall 'P 1'
_cell_length_a 5.556
_cell_length_b 5.556
_cell_length_c 5.556
_cell_angle_alpha 60.00
_cell_angle_beta 60.00
_cell_angle_gamma 60.00
loop_
_atom_site_label
_atom_site_fract_x
_atom_site_fract_y
_atom_site_fract_z
I1 0.250 0.250 0.250
I2 0.750 0.750 0.750
Si1 0.000 0.000 0.000
In1 0.500 0.500 0.500
```

Output
Formation energy (no corrections) ... 0.328 eV per atom
ΔE to the lowest computed polymorph ... 33 meV/atom
Space group ... Fm-3m, No. 225
E ... -2.488 eV/atom


The following is a PBE calculation of a relaxed InSiTeI2 crystal, from Alexandria.

Structure (CIF):
```
data_InSiTeI2
_chemical_formula_sum 'In1 Si1 Te1 I2'
_space_group_name_H-M_alt 'P 1'
_space_group_IT_number 1
_space_group_name_Hall 'P 1'
_cell_length_a 5.784
_cell_length_b 5.784
_cell_length_c 5.849
_cell_angle_alpha 90.00
_cell_angle_beta 90.00
_cell_angle_gamma 90.00
loop_
_atom_site_label
_atom_site_fract_x
_atom_site_fract_y
_atom_site_fract_z
I1 0.000 0.500 0.000
I2 0.500 0.000 0.000
Si1 0.500 0.500 0.500
Te1 0.000 0.000 0.500
In1 0.000 0.000 0.000
```

Output
Formation energy (no corrections) ... 0.583 eV per atom
ΔE to the lowest computed polymorph ... 531 meV/atom
Space group ... P4/mmm, No. 123
E ... -2.298 eV/atom


The following is a PBE calculation of a relaxed InSiTeI2 crystal, from Alexandria.

Structure (CIF):
```
data_InSiTeI2
_chemical_formula_sum 'In1 Si1 Te1 I2'
_space_group_name_H-M_alt 'P 1'
_space_group_IT_number 1
_space_group_name_Hall 'P 1'
_cell_length_a 5.787
_cell_length_b 5.787
_cell_length_c 5.613
_cell_angle_alpha 90.00
_cell_angle_beta 90.00
_cell_angle_gamma 90.00
loop_
_atom_site_label
_atom_site_fract_x
_atom_site_fract_y
_atom_site_fract_z
I1 0.000 0.500 0.000
I2 0.500 0.000 0.000
Si1 0.000 0.000 0.000
Te1 0.000 0.000 0.500
In1 0.500 0.500 0.500
```

Output
Formation energy (no corrections) ... 0.052 eV per atom
ΔE to the lowest computed polymorph ... 0 meV/atom
Space group ... P4/mmm, No. 123
E ... -2.829 eV/atom


no.,density of states at the Fermi level (states/eV per cell)
1,5.36
2,2.12
3,2.54
4,5.75